CdBRh3 | meta-GGA SCAN | single point on PBEsol structure

a b c (Å): 4.7599 4.7599 4.7599
angles (deg): 90.00 90.00 90.00
Atoms (fractional coordinates):
Cd  0.0000  0.0000  0.0000
B  0.5000  0.5000  0.5000
Rh  0.0000  0.0000  0.5000
Rh  0.0000  0.5000  0.0000
Rh  0.5000  0.0000  0.0000

Computed properties:
* DFT total energy: -126.18 eV per cell
* spin magnetization: 2.01 μB/f.u.
* SG: Pm-3m